No. 1
Compound: Bi3P2O10
Source: Alexandria
Functional: GGA-PBE
Structure: optimized geometry

```
Bi3P2O10
1.0
6.927 0.000 0.000
-0.130 7.206 0.000
-2.648 -3.563 8.193
Bi P O
6 4 20
Direct
0.195 0.328 0.399
0.225 0.105 0.977
0.276 0.728 0.199
0.724 0.272 0.801
0.775 0.895 0.023
0.805 0.672 0.601
0.227 0.464 0.793
0.315 0.863 0.600
0.685 0.137 0.400
0.773 0.536 0.207
0.068 0.484 0.645
0.105 0.973 0.132
0.114 0.336 0.856
0.133 0.878 0.666
0.216 0.383 0.183
0.271 0.930 0.455
0.319 0.671 0.939
0.381 0.648 0.542
0.389 0.355 0.723
0.500 0.002 0.251
0.500 0.998 0.749
0.611 0.645 0.277
0.619 0.352 0.458
0.681 0.329 0.061
0.729 0.070 0.545
0.784 0.617 0.817
0.867 0.122 0.334
0.886 0.664 0.144
0.895 0.027 0.868
0.932 0.516 0.355
```

Results
D(E_F) in states/eV per cell: 14.1
Crystal system: triclinic
Distance to the lowest polymorph of the same formula in eV per atom: 0.0000
Final energy in hartree per atom: -0.23901
Formation energy without anion corrections in eV/atom: -1.70
Symmetry: P-1, No. 2


No. 2
Compound: Bi2PO5
Source: Alexandria
Functional: GGA-PBE
Structure: optimized geometry

```
Bi2PO5
1.0
6.361 -3.610 0.000
6.361 3.610 0.000
-5.636 0.000 12.032
Bi P O
8 4 20
Direct
0.065 0.665 0.166
0.140 0.737 0.522
0.263 0.860 0.978
0.335 0.935 0.334
0.665 0.065 0.666
0.737 0.140 0.022
0.860 0.263 0.478
0.935 0.335 0.834
0.143 0.517 0.711
0.483 0.857 0.789
0.517 0.143 0.211
0.857 0.483 0.289
0.005 0.274 0.339
0.009 0.384 0.681
0.036 0.844 0.044
0.156 0.964 0.456
0.214 0.576 0.838
0.274 0.005 0.839
0.333 0.384 0.650
0.384 0.009 0.181
0.384 0.333 0.150
0.424 0.786 0.662
0.576 0.214 0.338
0.616 0.667 0.850
0.616 0.991 0.819
0.667 0.616 0.350
0.726 0.995 0.161
0.786 0.424 0.162
0.844 0.036 0.544
0.964 0.156 0.956
0.991 0.616 0.319
0.995 0.726 0.661
```

Results
D(E_F) in states/eV per cell: 0.0
Crystal system: monoclinic
Final energy in hartree per atom: -0.23547
Formation energy without anion corrections in eV/atom: -1.66
Symmetry: C2/c, No. 15


No. 3
Compound: BiP2O7
Source: Alexandria
Functional: GGA-PBE
Structure: optimized geometry

```
BiP2O7
1.0
5.228 0.000 0.000
0.000 9.392 0.000
-4.809 0.000 12.789
Bi P O
4 8 28
Direct
0.063 0.220 0.271
0.063 0.280 0.771
0.937 0.720 0.229
0.937 0.780 0.729
0.261 0.724 0.529
0.261 0.776 0.029
0.430 0.525 0.701
0.430 0.975 0.201
0.570 0.025 0.799
0.570 0.475 0.299
0.739 0.224 0.971
0.739 0.276 0.471
0.052 0.702 0.067
0.052 0.798 0.567
0.164 0.705 0.412
0.164 0.795 0.912
0.247 0.594 0.753
0.247 0.906 0.253
0.270 0.075 0.757
0.270 0.425 0.257
0.310 0.564 0.577
0.310 0.936 0.077
0.418 0.137 0.208
0.418 0.363 0.708
0.466 0.196 0.426
0.466 0.304 0.926
0.534 0.696 0.074
0.534 0.804 0.574
0.582 0.637 0.292
0.582 0.863 0.792
0.690 0.064 0.923
0.690 0.436 0.423
0.730 0.575 0.743
0.730 0.925 0.243
0.753 0.094 0.747
0.753 0.406 0.247
0.836 0.205 0.088
0.836 0.295 0.588
0.948 0.202 0.433
0.948 0.298 0.933
```

Results
D(E_F) in states/eV per cell: 14.0
Crystal system: monoclinic
Distance to the lowest polymorph of the same formula in eV per atom: 0.0419
Final energy in hartree per atom: -0.24697
Formation energy without anion corrections in eV/atom: -1.78
Symmetry: P2_1/c, No. 14


No. 4
Compound: BiP2O7
Source: Alexandria
Functional: GGA-PBE
Structure: optimized geometry

```
BiP2O7
1.0
5.220 -4.382 0.000
5.220 4.382 0.000
-5.056 0.000 13.109
Bi P O
4 8 28
Direct
0.117 0.620 0.862
0.380 0.883 0.638
0.620 0.117 0.362
0.883 0.380 0.138
0.109 0.238 0.368
0.238 0.109 0.868
0.332 0.405 0.071
0.405 0.332 0.571
0.595 0.668 0.429
0.668 0.595 0.929
0.762 0.891 0.132
0.891 0.762 0.632
0.015 0.606 0.692
0.029 0.894 0.610
0.096 0.276 0.821
0.106 0.971 0.890
0.213 0.325 0.128
0.213 0.587 0.028
0.218 0.380 0.476
0.276 0.096 0.321
0.325 0.213 0.628
0.380 0.218 0.976
0.394 0.985 0.808
0.413 0.787 0.472
0.455 0.543 0.639
0.457 0.545 0.861
0.543 0.455 0.139
0.545 0.457 0.361
0.587 0.213 0.528
0.606 0.015 0.192
0.620 0.782 0.024
0.675 0.787 0.372
0.724 0.904 0.679
0.782 0.620 0.524
0.787 0.413 0.972
0.787 0.675 0.872
0.894 0.029 0.110
0.904 0.724 0.179
0.971 0.106 0.390
0.985 0.394 0.308
```

Results
D(E_F) in states/eV per cell: 14.7
Crystal system: monoclinic
Distance to the lowest polymorph of the same formula in eV per atom: 0.0142
Final energy in hartree per atom: -0.24799
Formation energy without anion corrections in eV/atom: -1.81
Symmetry: C2/c, No. 15


No. 5
Compound: PaBiP2O8
Source: Alexandria
Functional: GGA-PBE
Structure: optimized geometry

```
PaBiP2O8
1.0
5.537 0.000 0.000
-2.768 4.795 0.000
0.000 0.000 8.533
Pa Bi P O
1 1 2 8
Direct
0.000 0.000 0.000
0.000 0.000 0.500
0.333 0.667 0.778
0.667 0.333 0.222
0.183 0.366 0.851
0.183 0.817 0.851
0.333 0.667 0.602
0.366 0.183 0.149
0.634 0.817 0.851
0.667 0.333 0.398
0.817 0.183 0.149
0.817 0.634 0.149
```

Results
D(E_F) in states/eV per cell: 3.8
Crystal system: trigonal
Final energy in hartree per atom: -0.27770
Formation energy without anion corrections in eV/atom: -2.23
Symmetry: P-3m1, No. 164


No. 6
Compound: BiPPb4O8
Source: Alexandria
Functional: GGA-PBE
Structure: optimized geometry

```
BiPPb4O8
1.0
6.458 0.000 0.000
0.004 7.360 0.000
3.161 1.818 10.505
Bi P Pb O
2 2 8 16
Direct
0.070 0.224 0.102
0.930 0.776 0.898
0.058 0.703 0.190
0.942 0.297 0.810
0.244 0.117 0.531
0.245 0.620 0.525
0.479 0.044 0.800
0.481 0.558 0.797
0.519 0.442 0.203
0.521 0.956 0.200
0.755 0.380 0.475
0.756 0.883 0.469
0.099 0.553 0.102
0.099 0.896 0.101
0.180 0.318 0.722
0.217 0.683 0.273
0.235 0.810 0.760
0.280 0.193 0.226
0.433 0.394 0.419
0.443 0.897 0.413
0.557 0.103 0.587
0.567 0.606 0.581
0.720 0.807 0.774
0.765 0.190 0.240
0.783 0.317 0.727
0.820 0.682 0.278
0.901 0.104 0.899
0.901 0.447 0.898
```

Results
D(E_F) in states/eV per cell: 0.0
Crystal system: triclinic
Final energy in hartree per atom: -0.22280
Formation energy without anion corrections in eV/atom: -1.51
Symmetry: P-1, No. 2


No. 7
Compound: Bi17P5Pb5O43
Source: Alexandria
Functional: GGA-PBE
Structure: optimized geometry

```
Bi17P5Pb5O43
1.0
8.080 -8.462 0.000
8.080 8.462 0.000
-7.916 0.000 8.442
Bi P Pb O
17 5 5 43
Direct
0.000 0.000 0.000
0.316 0.662 0.682
0.320 0.320 0.005
0.331 0.675 0.357
0.336 0.336 0.704
0.340 0.990 0.994
0.355 0.994 0.350
0.653 0.653 0.671
0.662 0.316 0.682
0.663 0.954 0.333
0.675 0.331 0.357
0.682 0.986 0.694
0.954 0.663 0.333
0.972 0.972 0.326
0.986 0.682 0.694
0.990 0.340 0.994
0.994 0.355 0.350
0.292 0.978 0.642
0.327 0.327 0.381
0.669 0.969 0.022
0.969 0.669 0.022
0.978 0.292 0.642
0.313 0.639 0.008
0.635 0.635 0.324
0.639 0.313 0.008
0.642 0.642 0.001
0.980 0.980 0.650
0.050 0.579 0.066
0.054 0.779 0.029
0.086 0.571 0.544
0.104 0.923 0.881
0.137 0.348 0.762
0.137 0.933 0.504
0.228 0.228 0.198
0.246 0.395 0.456
0.286 0.901 0.720
0.288 0.773 0.870
0.346 0.526 0.167
0.348 0.137 0.762
0.375 0.931 0.567
0.379 0.554 0.798
0.385 0.798 0.292
0.395 0.246 0.456
0.423 0.423 0.953
0.430 0.983 0.209
0.444 0.444 0.429
0.526 0.346 0.167
0.550 0.742 0.534
0.554 0.379 0.798
0.555 0.738 0.161
0.571 0.086 0.544
0.578 0.826 0.860
0.579 0.050 0.066
0.738 0.555 0.161
0.739 0.919 0.528
0.742 0.550 0.534
0.745 0.935 0.153
0.773 0.288 0.870
0.779 0.054 0.029
0.798 0.385 0.292
0.826 0.578 0.860
0.827 0.827 0.770
0.859 0.859 0.358
0.901 0.286 0.720
0.919 0.739 0.528
0.923 0.104 0.881
0.931 0.375 0.567
0.933 0.137 0.504
0.935 0.745 0.153
0.983 0.430 0.209
```

Results
D(E_F) in states/eV per cell: 0.0
Crystal system: monoclinic
Final energy in hartree per atom: -0.22650
Formation energy without anion corrections in eV/atom: -1.52
Symmetry: Cm, No. 8


No. 8
Compound: Bi2PPbO
Source: Alexandria
Functional: GGA-PBE
Structure: optimized geometry

```
Bi2PPbO
1.0
5.917 0.000 0.000
0.000 5.917 0.000
0.000 0.000 3.540
Bi P Pb O
2 1 1 1
Direct
0.000 0.500 0.000
0.500 0.000 0.000
0.000 0.000 0.000
0.500 0.500 0.500
0.000 0.000 0.500
```

Results
D(E_F) in states/eV per cell: 3.2
Crystal system: tetragonal
Final energy in hartree per atom: -0.16566
Formation energy without anion corrections in eV/atom: -0.14
Symmetry: P4/mmm, No. 123


No. 9
Compound: BiP3Pb3O12
Source: Alexandria
Functional: GGA-PBE
Structure: optimized geometry

```
BiP3Pb3O12
1.0
5.288 -7.466 0.000
5.288 7.466 0.000
-5.280 0.000 7.462
Bi P Pb O
2 6 6 24
Direct
0.167 0.833 0.500
0.833 0.167 0.000
0.043 0.920 0.128
0.287 0.547 0.253
0.424 0.804 0.871
0.547 0.287 0.753
0.804 0.424 0.371
0.920 0.043 0.628
0.024 0.519 0.848
0.176 0.321 0.505
0.321 0.176 0.005
0.519 0.024 0.348
0.663 0.672 0.150
0.672 0.663 0.650
0.005 0.078 0.147
0.029 0.885 0.282
0.078 0.005 0.647
0.090 0.407 0.094
0.233 0.979 0.154
0.278 0.603 0.752
0.304 0.736 0.312
0.327 0.513 0.413
0.340 0.917 0.825
0.407 0.090 0.594
0.412 0.527 0.178
0.496 0.855 0.071
0.513 0.327 0.913
0.527 0.412 0.678
0.585 0.843 0.836
0.603 0.278 0.252
0.736 0.304 0.812
0.748 0.901 0.446
0.843 0.585 0.336
0.855 0.496 0.571
0.885 0.029 0.782
0.901 0.748 0.946
0.917 0.340 0.325
0.979 0.233 0.654
```

Results
D(E_F) in states/eV per cell: 0.0
Crystal system: monoclinic
Final energy in hartree per atom: -0.24610
Formation energy without anion corrections in eV/atom: -1.92
Symmetry: Cc, No. 9


No. 10
Compound: Bi6P4PbO20
Source: Alexandria
Functional: GGA-PBE
Structure: optimized geometry

```
Bi6P4PbO20
1.0
7.071 0.000 0.000
-2.881 7.200 0.000
-0.526 -3.135 8.719
Bi P Pb O
6 4 1 20
Direct
0.058 0.204 0.409
0.170 0.875 0.992
0.305 0.304 0.825
0.695 0.696 0.175
0.830 0.125 0.008
0.942 0.796 0.591
0.151 0.601 0.243
0.454 0.732 0.746
0.546 0.268 0.254
0.849 0.399 0.757
0.500 0.000 0.500
0.016 0.372 0.855
0.053 0.026 0.863
0.116 0.380 0.189
0.145 0.675 0.416
0.177 0.095 0.598
0.291 0.823 0.744
0.353 0.503 0.672
0.368 0.728 0.217
0.376 0.175 0.341
0.450 0.208 0.082
0.550 0.792 0.918
0.624 0.825 0.659
0.632 0.272 0.783
0.647 0.497 0.328
0.709 0.177 0.256
0.823 0.905 0.402
0.855 0.325 0.584
0.884 0.620 0.811
0.947 0.974 0.137
0.984 0.628 0.145
```

Results
D(E_F) in states/eV per cell: 0.0
Crystal system: triclinic
Final energy in hartree per atom: -0.24163
Formation energy without anion corrections in eV/atom: -1.81
Symmetry: P-1, No. 2


No. 11
Compound: BiPPdO2
Source: Alexandria
Functional: GGA-PBE
Structure: optimized geometry

```
BiPPdO2
1.0
4.085 0.000 0.000
0.000 4.085 0.000
0.000 0.000 5.644
Bi P Pd O
1 1 1 2
Direct
0.000 0.000 0.000
0.000 0.000 0.500
0.500 0.500 0.500
0.000 0.500 0.000
0.500 0.000 0.000
```

Results
D(E_F) in states/eV per cell: 5.1
Crystal system: tetragonal
Distance to the lowest polymorph of the same formula in eV per atom: 0.2499
Final energy in hartree per atom: -0.16898
Formation energy without anion corrections in eV/atom: 0.28
Symmetry: P4/mmm, No. 123


No. 12
Compound: BiPPdO2
Source: Alexandria
Functional: GGA-PBE
Structure: optimized geometry

```
BiPPdO2
1.0
4.090 0.000 0.000
0.000 4.090 0.000
0.000 0.000 4.695
Bi P Pd O
1 1 1 2
Direct
0.000 0.000 0.000
0.500 0.500 0.000
0.500 0.500 0.500
0.000 0.500 0.500
0.500 0.000 0.500
```

Results
D(E_F) in states/eV per cell: 5.0
Crystal system: tetragonal
Distance to the lowest polymorph of the same formula in eV per atom: 0.0000
Final energy in hartree per atom: -0.17816
Formation energy without anion corrections in eV/atom: 0.03
Symmetry: P4/mmm, No. 123


Number 1: total magnetic moment 0.0 Bohr magnetons per cell. Number 2: total magnetic moment 0.0 Bohr magnetons per cell. Number 3: total magnetic moment 4.1 Bohr magnetons per cell. Number 4: total magnetic moment 0.0 Bohr magnetons per cell. Number 5: total magnetic moment 2.1 Bohr magnetons per cell. Number 6: total magnetic moment 0.0 Bohr magnetons per cell. Number 7: total magnetic moment 0.0 Bohr magnetons per cell. Number 8: total magnetic moment 0.0 Bohr magnetons per cell. Number 9: total magnetic moment 0.0 Bohr magnetons per cell. Number 10: total magnetic moment 0.0 Bohr magnetons per cell. Number 11: total magnetic moment 0.6 Bohr magnetons per cell. Number 12: total magnetic moment 0.0 Bohr magnetons per cell.